1.
LiInFe2 (PBE-GGA, optimized geometry); DOS at the Fermi energy = 2.2 states/eV/cell; SG = I-4m2 (119); energy of formation from the pure elements = 0.13 eV/atom
1.0
4.303 -0.023 0.000
0.036 4.303 0.000
-2.169 -2.140 3.038
Fe In Li
2 1 1
Direct
0.000 0.000 0.000 Fe
0.250 0.750 0.500 Fe
0.500 0.500 0.000 In
0.750 0.250 0.500 Li

2.
LiInFe2 (PBE-GGA, optimized geometry); DOS at the Fermi energy = 3.0 states/eV/cell; SG = C2/m (12); energy of formation from the pure elements = 0.26 eV/atom
1.0
-2.793 -3.030 -2.551
0.986 -1.497 4.894
-2.377 0.519 1.169
Fe In Li
2 1 1
Direct
0.000 0.000 0.000 Fe
0.500 0.000 0.500 Fe
0.000 0.500 0.500 In
0.500 0.500 0.000 Li

3.
LiInFe2 (PBE-GGA, optimized geometry); DOS at the Fermi energy = 2.2 states/eV/cell; SG = P4/mmm (123); energy of formation from the pure elements = 0.40 eV/atom
1.0
2.816 0.007 0.000
-0.003 2.816 0.000
0.000 0.000 7.380
Fe In Li
2 1 1
Direct
0.000 0.000 0.975 Fe
0.000 0.000 0.525 Fe
0.500 0.500 0.250 In
0.500 0.500 0.750 Li

4.
LiInFe2 (PBE-GGA, optimized geometry); DOS at the Fermi energy = 2.8 states/eV/cell; SG = I-42d (122); energy of formation from the pure elements = 0.63 eV/atom
1.0
-2.741 0.455 2.326
-2.022 -2.304 -1.932
0.656 -7.702 5.103
Li Fe In
2 4 2
Direct
0.500 0.500 0.000 Li
0.250 0.750 0.500 Li
0.530 0.125 0.250 Fe
0.220 0.625 0.250 Fe
0.375 0.470 0.750 Fe
0.875 0.780 0.750 Fe
0.000 0.000 0.000 In
0.750 0.250 0.500 In

5.
LiInFe2 (PBE-GGA, optimized geometry); DOS at the Fermi energy = 4.1 states/eV/cell; SG = P4/mmm (123); energy of formation from the pure elements = 0.35 eV/atom
1.0
3.165 0.000 0.000
0.000 3.165 0.000
0.000 0.000 5.784
Fe In Li
2 1 1
Direct
0.000 0.000 0.960 Fe
0.000 0.000 0.540 Fe
0.500 0.500 0.250 In
0.500 0.500 0.750 Li

6.
Li2InFeMo (PBE-GGA, optimized geometry); DOS at the Fermi energy = 5.3 states/eV/cell; SG = P4/mmm (123); energy of formation from the pure elements = 1.30 eV/atom
1.0
4.648 0.000 0.000
0.000 4.869 0.000
0.000 0.000 4.648
Mo Li Fe In
1 2 1 1
Direct
0.500 0.500 0.500 Mo
0.000 0.000 0.500 Li
0.500 0.000 0.000 Li
0.000 0.500 0.000 Fe
0.000 0.000 0.000 In

7.
LiInFe2N (PBE-GGA, optimized geometry); DOS at the Fermi energy = 5.1 states/eV/cell; SG = P4/mmm (123); ΔE_f (raw) = -0.15 eV/atom
1.0
3.741 0.000 0.000
0.000 3.741 0.000
0.000 0.000 4.109
N Li Fe In
1 1 2 1
Direct
0.000 0.000 0.000 N
0.000 0.000 0.500 Li
0.000 0.500 0.000 Fe
0.500 0.000 0.000 Fe
0.500 0.500 0.500 In

8.
Li2InFeN (PBE-GGA, optimized geometry); DOS at the Fermi energy = 3.0 states/eV/cell; SG = P4/mmm (123); ΔE_f (raw) = -0.24 eV/atom
1.0
-0.319 -3.352 2.585
-2.335 -2.022 -2.912
2.948 -1.370 -1.412
N Li Fe In
1 2 1 1
Direct
0.000 0.000 0.000 N
0.000 0.500 0.000 Li
0.500 0.000 0.000 Li
0.000 0.000 0.500 Fe
0.500 0.500 0.500 In

9.
LiNbIn2Fe (PBE-GGA, optimized geometry); DOS at the Fermi energy = 4.6 states/eV/cell; SG = P4/mmm (123); energy of formation from the pure elements = 0.73 eV/atom
1.0
-2.553 1.674 4.558
-0.880 -4.289 1.082
4.736 -0.276 2.754
Nb Li Fe In
1 1 1 2
Direct
0.000 0.000 0.000 Nb
0.500 0.500 0.500 Li
0.000 0.500 0.000 Fe
0.000 0.000 0.500 In
0.500 0.000 0.000 In

10.
LiInFe2Ni (PBE-GGA, optimized geometry); DOS at the Fermi energy = 12.5 states/eV/cell; SG = P4/mmm (123); energy of formation from the pure elements = 1.28 eV/atom
1.0
-0.582 0.493 4.832
-4.716 -0.078 -0.560
0.021 -4.866 0.499
Ni Li Fe In
1 1 2 1
Direct
0.000 0.500 0.000 Ni
0.500 0.500 0.500 Li
0.000 0.000 0.500 Fe
0.500 0.000 0.000 Fe
0.000 0.000 0.000 In

no.,final energy (eV/atom),volume (A^3/atom)
1,-5.262,14.06
2,-5.133,14.62
3,-4.993,14.63
4,-4.769,14.61
5,-5.046,14.48
6,-3.868,21.03
7,-6.130,11.50
8,-4.911,12.77
9,-4.452,27.15
10,-4.191,22.73